Entry 1:
CrCo4Si PBE relaxed; size of the total moment = 8.20 μB per formula unit; formation energy without anion corrections = 3.8 kcal/mol of atoms; DFT total energy = -42.5 eV/cell
1.0
0.000 3.279 3.279
3.279 0.000 3.279
3.279 3.279 0.000
Cr Co Si
1 4 1
Cartesian
0.000 0.000 0.000
2.460 2.460 2.460
4.098 4.098 2.460
4.098 2.460 4.098
2.460 4.098 4.098
4.918 4.918 4.918



Entry 2:
CrCoSi PBE relaxed; size of the total moment = 0.00 μB per formula unit; formation energy without anion corrections = -5.1 kcal/mol of atoms; DFT total energy = -91.3 eV/cell
1.0
4.970 0.000 0.000
0.000 3.776 0.000
0.000 0.000 7.275
Cr Co Si
4 4 4
Cartesian
0.682 0.944 0.360
1.802 2.832 3.998
3.167 0.944 3.277
4.287 2.832 6.915
0.197 0.944 5.212
2.288 2.832 1.575
2.682 0.944 5.701
4.773 2.832 2.063
0.799 0.944 2.833
1.686 2.832 6.470
3.283 0.944 0.805
4.171 2.832 4.443



Entry 3:
CrCo2Si PBE relaxed; size of the total moment = 1.60 μB per formula unit; formation energy without anion corrections = -3.0 kcal/mol of atoms; DFT total energy = -29.8 eV/cell
1.0
3.792 0.000 0.000
0.000 1.267 4.635
0.000 -1.267 4.635
Cr Co Si
1 2 1
Cartesian
0.000 0.000 0.000
0.000 0.000 6.958
1.896 0.000 3.370
1.896 0.000 5.742



Entry 4:
CrCoSi PBE relaxed; size of the total moment = 1.00 μB per formula unit; formation energy without anion corrections = -5.9 kcal/mol of atoms; DFT total energy = -22.9 eV/cell
1.0
3.921 0.000 0.000
-1.960 3.396 0.000
0.000 0.000 2.573
Cr Co Si
1 1 1
Cartesian
0.000 0.000 0.000
0.000 2.264 1.286
1.960 1.132 1.286



Computed values of N(E_F) (unit: states/eV per cell) for the preceding records, in sequence: 10.8, 11.2, 4.5, 2.8.